1.
VASP calculation (PBE) on crystalline PrLu2C at its relaxed geometry.

Geometry as POSCAR:
```
PrLu2C
1.0
-3.021 -1.531 -0.759
-1.331 -2.375 2.152
-6.196 5.690 5.247
Pr C Lu
1 1 2
direct
0.000 0.000 0.000 Pr
0.500 0.500 0.500 C
0.122 0.122 0.635 Lu
0.878 0.878 0.365 Lu
```

Properties
Spin magnetization (μB/atom): 0.11
D(E_F) (states/eV per atom): 0.974
VASP energy (eV per atom): -5.924

***

2.
VASP calculation (PBE) on crystalline Pr2LuC at its relaxed geometry.

Geometry as POSCAR:
```
Pr2LuC
1.0
3.637 0.000 0.000
1.819 3.150 0.000
1.819 1.050 9.923
Pr C Lu
2 1 1
direct
0.118 0.118 0.646 Pr
0.882 0.882 0.354 Pr
0.500 0.500 0.500 C
0.000 0.000 0.000 Lu
```

Properties
Spin magnetization (μB/atom): 0.00
D(E_F) (states/eV per atom): 1.112
VASP energy (eV per atom): -5.696

***

3.
VASP calculation (PBE) on crystalline PrLuC at its relaxed geometry.

Geometry as POSCAR:
```
PrLuC
1.0
3.591 0.000 0.000
-1.795 3.110 0.000
0.000 0.000 6.432
Pr C Lu
1 1 1
direct
0.000 0.000 0.111 Pr
0.667 0.333 0.352 C
0.333 0.667 0.537 Lu
```

Properties
Spin magnetization (μB/atom): 0.00
D(E_F) (states/eV per atom): 0.715
VASP energy (eV per atom): -6.347

***

4.
VASP calculation (PBE) on crystalline Lu4Pt2C at its relaxed geometry.

Geometry as POSCAR:
```
Lu4Pt2C
1.0
-0.809 4.094 -1.930
-3.835 -1.661 -1.917
-6.055 3.192 3.834
C Lu Pt
1 4 2
direct
0.000 0.000 0.000 C
0.829 0.829 0.342 Lu
0.171 0.171 0.658 Lu
0.000 0.500 0.000 Lu
0.500 0.000 0.000 Lu
0.635 0.635 0.731 Pt
0.365 0.365 0.269 Pt
```

Properties
Spin magnetization (μB/atom): 0.00
D(E_F) (states/eV per atom): 0.458
VASP energy (eV per atom): -6.405